## K4Rb2Cd (PBE)

Data for an optimized crystal structure of K4Rb2Cd.

Values from the calculation:
Its space-group type is No. 139. The value obtained for the energy above the most stable polymorph in this dataset is 0.064 eV per atom. Its energy of formation from the pure elements is 0.06 eV/atom.

Structure (POSCAR):
```
K4Rb2Cd
1.0
-3.434 3.434 11.287
3.434 -3.434 11.287
3.434 3.434 -11.287
K Rb Cd
4 2 1
Direct
0.000 0.500 0.500
0.160 0.160 0.000
0.500 0.000 0.500
0.840 0.840 0.000
0.359 0.359 0.000
0.641 0.641 0.000
0.000 0.000 0.000
```

## GeNF2 (PBE)

Data for an optimized crystal structure of GeNF2.

Values from the calculation:
Its space-group type is No. 166. The value obtained for the energy above the most stable polymorph in this dataset is 0.292 eV per atom.

Structure (POSCAR):
```
GeNF2
1.0
1.490 0.860 8.638
-1.490 0.860 8.638
0.000 -1.720 8.638
Ge N F
1 1 2
Direct
0.000 0.000 0.000
0.500 0.500 0.500
0.069 0.069 0.069
0.931 0.931 0.931
```

## Ce3Al (PBE)

Data for an optimized crystal structure of Ce3Al.

Values from the calculation:
Its space-group type is No. 221. The value obtained for the energy above the most stable polymorph in this dataset is 0.005 eV per atom. Its energy of formation from the pure elements is -0.16 eV/atom.

Structure (POSCAR):
```
Ce3Al
1.0
4.675 0.000 0.000
0.000 4.675 0.000
0.000 0.000 4.675
Ce Al
3 1
Direct
0.000 0.000 0.500
0.000 0.500 0.000
0.500 0.000 0.000
0.500 0.500 0.500
```

## Ca2ScTaOs (PBE)

Data for an optimized crystal structure of Ca2ScTaOs.

Values from the calculation:
Its space-group type is No. 123. Its energy of formation from the pure elements is 0.71 eV/atom.

Structure (POSCAR):
```
Ca2ScTaOs
1.0
5.452 0.000 0.000
0.000 5.452 0.000
0.000 0.000 4.858
Ca Sc Ta Os
2 1 1 1
Direct
0.000 0.500 0.000
0.500 0.000 0.000
0.000 0.000 0.500
0.500 0.500 0.500
0.500 0.500 0.000
```